Here is a geometry-optimized Sc2VZn2Ni5 structure from Alexandria. Energies are from PBE.

Lattice parameters (Å, degrees): 9.0822 9.0822 3.3909 90.00 90.00 90.00
Fractional coordinates of all 20 atoms:
Sc 0.1721 0.3279 0.0000
Sc 0.3279 0.8279 0.0000
Sc 0.6721 0.1721 0.0000
Sc 0.8279 0.6721 0.0000
V 0.0000 0.0000 0.0000
V 0.5000 0.5000 0.0000
Zn 0.1274 0.6274 0.0000
Zn 0.3726 0.1274 0.0000
Zn 0.6274 0.8726 0.0000
Zn 0.8726 0.3726 0.0000
Ni 0.0000 0.5000 0.5000
Ni 0.0526 0.8060 0.5000
Ni 0.1940 0.0526 0.5000
Ni 0.3060 0.5526 0.5000
Ni 0.4474 0.3060 0.5000
Ni 0.5000 0.0000 0.5000
Ni 0.5526 0.6940 0.5000
Ni 0.6940 0.4474 0.5000
Ni 0.8060 0.9474 0.5000
Ni 0.9474 0.1940 0.5000

Space-group type: P4/mbm, No. 127
E_form, eV/f.u.: -2.6
E_tot, eV per atom: -5.580
Total magnetization, μB per formula unit: 0.0